This record from Alexandria describes a relaxed K4Fe2O5 crystal. The functional is PBE+U.

Values from the calculation:
Its volume is 388 Å³/cell. For the calculated density, the calculation gives 2.98 Mg/m³. The calculation puts the total magnetic moment at 0.909 μB per atom. As for the uncorrected energy: -0.18953 Ha/atom.

Unit cell a=6.527 b=6.032 c=10.137 alpha=90.00 beta=103.78 gamma=90.00
Space group P2_1/c (No. 14)
One atom of each set of equivalent atoms:
K: 0.095 0.090 0.338 [4 per cell]
K: 0.266 0.621 0.516 [4 per cell]
Fe: 0.408 0.115 0.656 [4 per cell]
O: 0.139 0.235 0.600 [4 per cell]
O: 0.396 0.646 0.270 [4 per cell]
O: 0.500 0.000 0.500 [2 per cell]